Compound: LaBe2Ir2
Source: Alexandria
Functional: PBEsol
Structure: relaxed

Unit cell a=4.161 b=4.161 c=9.236 alpha=90.00 beta=90.00 gamma=90.00
Positions (direct):
La 0.000 0.000 0.000
La 0.500 0.500 0.500
Be 0.000 0.000 0.345
Be 0.000 0.000 0.655
Be 0.500 0.500 0.155
Be 0.500 0.500 0.845
Ir 0.000 0.500 0.250
Ir 0.000 0.500 0.750
Ir 0.500 0.000 0.250
Ir 0.500 0.000 0.750

**M_tot**: 0.00 Bohr magnetons per cell
**Symmetry**: I4/mmm, No. 139
**Uncorrected energy**: -71.66 eV per cell
**Energy of formation from the pure elements**: -0.567 eV/atom